PBE-GGA NdZnRhPb, optimized geometry; total magnetization = 0.0 Bohr magnetons per cell; DFT formation energy = -331 meV per atom; DOS at the Fermi energy = 3.2 states/eV/cell; volume = 85.8 Å³ per cell; E = -4.606 eV/atom
1.0
4.9499 0.0000 0.0000
2.4749 4.2867 0.0000
2.4749 1.4289 4.0416
Pb Rh Zn Nd
1 1 1 1
Cartesian
2.4749 1.4289 1.0104
4.9499 2.8578 2.0208
0.0000 0.0000 0.0000
7.4248 4.2867 3.0312



PBE-GGA Nd8Ru2Pb, optimized geometry; total magnetization = 0.0 Bohr magnetons per cell; DFT formation energy = -170 meV per atom; DOS at the Fermi energy = 12.1 states/eV/cell; volume = 336.3 Å³ per cell; E = -5.661 eV/atom
1.0
-3.2638 1.8734 4.2250
-5.9086 -3.5301 -4.4437
4.5030 -5.2677 4.3696
Nd Ru Pb
8 2 1
Cartesian
-5.5203 -5.0564 2.7865
-2.8631 -5.4998 5.0358
-1.8271 -4.7655 1.2189
-4.9465 -3.0263 -0.1354
0.2772 -3.8981 4.2864
-2.8422 -2.1589 2.9320
-1.8063 -1.4245 -0.8849
0.8509 -1.8680 1.3644
1.3800 -4.7465 1.7260
-2.7855 -4.0513 -1.8001
-1.6319 0.9367 2.1125